Here is a relaxed Ac4SmGd crystal from the Alexandria database. Energies are from PBE.

Cell lengths 7.177, 7.177, 7.177 Å; angles 60.00, 60.00, 60.00 degrees
Element x y z (fractional)
Ac  0.625  0.625  0.126
Ac  0.625  0.126  0.625
Ac  0.625  0.625  0.625
Ac  0.126  0.625  0.625
Gd  0.000  0.000  0.000
Sm  0.250  0.250  0.250

As for the formation energy: 0.343 eV per atom. The density of states at the Fermi level comes out at 2.04 states/eV/atom.

=====

Here is a relaxed TaZn2W crystal from the Alexandria database. Energies are from PBE.

Cell lengths 4.251, 2.719, 5.841 Å; angles 68.18, 90.00, 90.00 degrees
Element x y z (fractional)
Ta  0.500  0.250  0.250
W  0.500  0.750  0.750
Zn  0.000  0.001  0.993
Zn  0.000  0.499  0.507

As for the formation energy: 0.144 eV per atom. The density of states at the Fermi level comes out at 0.33 states/eV/atom. The energy above the most stable polymorph in this dataset is 64 meV per atom.

=====

Here is a relaxed BeAg2Au crystal from the Alexandria database. Energies are from PBE.

Cell lengths 3.604, 3.208, 5.766 Å; angles 73.99, 90.00, 90.00 degrees
Element x y z (fractional)
Be  0.500  0.544  0.785
Au  0.000  0.678  0.521
Ag  0.000  0.960  0.955
Ag  0.500  0.319  0.239

As for the formation energy: 0.060 eV per atom. The density of states at the Fermi level comes out at 0.18 states/eV/atom.

=====

Here is a relaxed Nd14HoTl crystal from the Alexandria database. Energies are from PBE.

Cell lengths 7.252, 7.252, 10.335 Å; angles 90.00, 90.00, 89.99 degrees
Element x y z (fractional)
Nd  0.375  0.625  0.500
Nd  0.875  0.125  0.500
Nd  0.875  0.625  0.000
Nd  0.875  0.625  0.500
Nd  0.375  0.125  0.000
Nd  0.375  0.125  0.500
Nd  0.624  0.874  0.755
Nd  0.624  0.874  0.245
Nd  0.126  0.376  0.755
Nd  0.126  0.376  0.245
Nd  0.126  0.874  0.755
Nd  0.126  0.874  0.245
Nd  0.624  0.376  0.755
Nd  0.624  0.376  0.245
Ho  0.875  0.125  0.000
Tl  0.375  0.625  0.000

As for the formation energy: -0.026 eV per atom. The density of states at the Fermi level comes out at 1.28 states/eV/atom.

=====

Here is a relaxed HgBiB2 crystal from the Alexandria database. Energies are from PBE.

Cell lengths 5.326, 5.326, 6.772 Å; angles 66.84, 66.84, 90.00 degrees
Element x y z (fractional)
B  0.606  0.125  0.250
B  0.144  0.625  0.250
B  0.375  0.394  0.750
B  0.875  0.856  0.750
Bi  0.000  0.000  0.000
Bi  0.750  0.250  0.500
Hg  0.500  0.500  0.000
Hg  0.250  0.750  0.500

As for the formation energy: 1.199 eV per atom. The density of states at the Fermi level comes out at 0.54 states/eV/atom. The energy above the most stable polymorph in this dataset is 0 meV per atom.

=====

Here is a relaxed Ac2TbAu crystal from the Alexandria database. Energies are from PBE.

Cell lengths 3.917, 3.917, 9.007 Å; angles 90.00, 90.00, 90.00 degrees
Element x y z (fractional)
Tb  0.500  0.500  0.500
Ac  0.000  0.000  0.787
Ac  0.000  0.000  0.213
Au  0.500  0.500  0.000

As for the formation energy: -0.331 eV per atom. The density of states at the Fermi level comes out at 1.42 states/eV/atom. The energy above the most stable polymorph in this dataset is 0 meV per atom.

=====

- Among the records above, which one has the lowest density of states at the Fermi level?
  BeAg2Au

=====

- density of states at the Fermi level of number 1 (Ac4SmGd)?
  2.04 states/eV/atom